# 1
DFT (GGA-PBE) results for an optimized crystal structure of LaTiV.

Summary:
- Theoretical density: 5.97 Mg/m³
- ΔH_f (0 K): 252 meV/atom
- Volume: 66 Å³/f.u.
- Distance to the lowest polymorph of the same formula: 74 meV/atom
- Uncorrected energy: -7.062 eV per atom

CIF file:
```
data_LaTiV
_symmetry_space_group_name_H-M 'C 1 m 1'
_symmetry_Int_Tables_number 8
_cell_length_a 9.754
_cell_length_b 3.326
_cell_length_c 8.536
_cell_angle_alpha 90.00
_cell_angle_beta 107.23
_cell_angle_gamma 90.00
loop_
_symmetry_equiv_pos_as_xyz
'x,y,z'
'x,-y,z'
'x+1/2,y+1/2,z'
'x+1/2,-y+1/2,z'
loop_
_atom_site_label
_atom_site_type_symbol
_atom_site_fract_x
_atom_site_fract_y
_atom_site_fract_z
La1 La 0.000 0.000 0.000
La2 La 0.173 0.500 0.749
Ti1 Ti 0.154 0.500 0.344
Ti2 Ti 0.331 0.000 0.221
V1 V 0.331 0.000 0.549
V2 V 0.465 0.500 0.447
```

# 2
DFT (GGA-PBE) results for an optimized crystal structure of LaTiV.

Summary:
- Theoretical density: 5.21 Mg/m³
- ΔH_f (0 K): 373 meV/atom
- Volume: 76 Å³/f.u.
- Distance to the lowest polymorph of the same formula: 195 meV/atom
- Uncorrected energy: -6.941 eV per atom

CIF file:
```
data_LaTiV
_symmetry_space_group_name_H-M 'R 3 m'
_symmetry_Int_Tables_number 160
_symmetry_space_group_name_Hall 'R 3 -2"'
_cell_length_a 4.5013
_cell_length_b 4.5013
_cell_length_c 25.9216
_cell_angle_alpha 90.00
_cell_angle_beta 90.00
_cell_angle_gamma 120.00
loop_
_atom_site_label
_atom_site_type_symbol
_atom_site_fract_x
_atom_site_fract_y
_atom_site_fract_z
La1 La 0.0000 0.0000 0.0000
La2 La 0.0000 0.0000 0.2349
Ti1 Ti 0.0000 0.0000 0.1187
Ti2 Ti 0.0000 0.0000 0.4499
V1 V 0.0000 0.0000 0.7446
V2 V 0.0000 0.0000 0.8256
```

Question: Which of these has the highest distance to the lowest polymorph of the same formula?
Answer: number 2

Question: Which of these has the highest distance to the lowest polymorph of the same formula?
Answer: number 2